1.
# Li2SnAs, relaxed, DFT PBE
data_Li2SnAs
_symmetry_space_group_name_H-M 'P n m a'
_symmetry_Int_Tables_number 62
_cell_length_a 6.3664
_cell_length_b 7.9778
_cell_length_c 6.2434
_cell_angle_alpha 90.00
_cell_angle_beta 90.00
_cell_angle_gamma 90.00
loop_
_symmetry_equiv_pos_as_xyz
'x,y,z'
'-x,-y,-z'
'-x+1/2,-y,z+1/2'
'x+1/2,y,-z+1/2'
'x+1/2,-y+1/2,-z+1/2'
'-x+1/2,y+1/2,z+1/2'
'-x,y+1/2,-z'
'x,-y+1/2,z'
loop_
_atom_site_label
_atom_site_fract_x
_atom_site_fract_y
_atom_site_fract_z
_atom_site_occupancy
Li1 0.1862 0.0408 0.1863 1
Sn1 0.0074 0.7500 0.4484 1
As1 0.0775 0.7500 0.0075 1
# * total magnetic moment: 0.0 μB per cell
# * E_form: -41.0 kJ per mole of atoms
# * offset from the most stable computed form: 0 meV per atom


2.
# LiSnAs, relaxed, DFT PBE
data_LiSnAs
_symmetry_space_group_name_H-M 'P -6 m 2'
_symmetry_Int_Tables_number 187
_symmetry_space_group_name_Hall 'P -6 2'
_cell_length_a 4.9465
_cell_length_b 4.9465
_cell_length_c 3.0900
_cell_angle_alpha 90.00
_cell_angle_beta 90.00
_cell_angle_gamma 120.00
loop_
_atom_site_label
_atom_site_fract_x
_atom_site_fract_y
_atom_site_fract_z
_atom_site_occupancy
Li1 0.0000 0.0000 0.0000 1
Sn1 0.3333 0.6667 0.5000 1
As1 0.6667 0.3333 0.5000 1
# * total magnetic moment: 0.0 μB per cell
# * E_form: -13.8 kJ per mole of atoms
# * offset from the most stable computed form: 232 meV per atom


3.
# LiSn2As3, relaxed, DFT PBE
data_LiSn2As3
_symmetry_space_group_name_H-M 'C 1 c 1'
_symmetry_Int_Tables_number 9
_cell_length_a 7.3601
_cell_length_b 12.9472
_cell_length_c 7.3666
_cell_angle_alpha 90.00
_cell_angle_beta 108.92
_cell_angle_gamma 90.00
loop_
_symmetry_equiv_pos_as_xyz
'x,y,z'
'x,-y,z+1/2'
'x+1/2,y+1/2,z'
'x+1/2,-y+1/2,z+1/2'
loop_
_atom_site_label
_atom_site_fract_x
_atom_site_fract_y
_atom_site_fract_z
_atom_site_occupancy
Li1 0.0000 0.0785 0.0000 1
Sn1 0.4685 0.0829 0.4888 1
Sn2 0.4913 0.2490 0.9899 1
As1 0.0954 0.0824 0.3575 1
As2 0.1048 0.2446 0.8755 1
As3 0.1301 0.4206 0.3731 1
# * total magnetic moment: 0.0 μB per cell
# * E_form: -19.8 kJ per mole of atoms